1.
# LaCuPb2, single point on PBEsol structure, DFT SCAN
data_LaCuPb2
_space_group_name_H-M_alt 'P 4/m m m'
_space_group_IT_number 123
_space_group_name_Hall '-P 4 2'
_cell_length_a 4.688
_cell_length_b 4.688
_cell_length_c 4.589
_cell_angle_alpha 90.00
_cell_angle_beta 90.00
_cell_angle_gamma 90.00
loop_
_atom_site_label
_atom_site_type_symbol
_atom_site_fract_x
_atom_site_fract_y
_atom_site_fract_z
La1 La 0.000 0.000 0.000
Cu1 Cu 0.500 0.500 0.000
Pb1 Pb 0.000 0.500 0.500
# Energy above the lowest structure with this stoichiometry ... 0.0 kJ per mole of atoms
# E_tot ... -211.1 eV for the cell shown
# Calculated formation energy ... -315 meV/atom
# Crystal system ... tetragonal

2.
# LaCuPb, single point on PBEsol structure, DFT SCAN
data_LaCuPb
_space_group_name_H-M_alt 'P -6 m 2'
_space_group_IT_number 187
_space_group_name_Hall 'P -6 2'
_cell_length_a 4.6302
_cell_length_b 4.6302
_cell_length_c 3.9736
_cell_angle_alpha 90.00
_cell_angle_beta 90.00
_cell_angle_gamma 120.00
loop_
_atom_site_label
_atom_site_type_symbol
_atom_site_fract_x
_atom_site_fract_y
_atom_site_fract_z
La1 La 0.0000 0.0000 0.0000
Cu1 Cu 0.6667 0.3333 0.5000
Pb1 Pb 0.3333 0.6667 0.5000
# E_tot ... -135.7 eV for the cell shown
# Calculated formation energy ... -553 meV/atom
# Crystal system ... hexagonal

3.
# LaCuPb, single point on PBEsol structure, DFT SCAN
data_LaCuPb
_space_group_name_H-M_alt 'P 63 m c'
_space_group_IT_number 186
_space_group_name_Hall 'P 6c -2c'
_cell_length_a 4.6745
_cell_length_b 4.6745
_cell_length_c 7.7149
_cell_angle_alpha 90.00
_cell_angle_beta 90.00
_cell_angle_gamma 120.00
loop_
_atom_site_label
_atom_site_type_symbol
_atom_site_fract_x
_atom_site_fract_y
_atom_site_fract_z
La1 La 0.0000 0.0000 0.0000
Cu1 Cu 0.3333 0.6667 0.1894
Pb1 Pb 0.3333 0.6667 0.7701
# E_tot ... -271.9 eV for the cell shown
# Calculated formation energy ... -623 meV/atom
# Crystal system ... hexagonal

4.
# LaCuPb, single point on PBEsol structure, DFT SCAN
data_LaCuPb
_space_group_name_H-M_alt 'P 63/m m c'
_space_group_IT_number 194
_space_group_name_Hall '-P 6c 2c'
_cell_length_a 4.6195
_cell_length_b 4.6195
_cell_length_c 8.0287
_cell_angle_alpha 90.00
_cell_angle_beta 90.00
_cell_angle_gamma 120.00
loop_
_atom_site_label
_atom_site_type_symbol
_atom_site_fract_x
_atom_site_fract_y
_atom_site_fract_z
La1 La 0.0000 0.0000 0.0000
Cu1 Cu 0.3333 0.6667 0.2500
Pb1 Pb 0.3333 0.6667 0.7500
# E_tot ... -271.9 eV for the cell shown
# Calculated formation energy ... -616 meV/atom
# Crystal system ... hexagonal